Record 1
Here is a relaxed structure of Li2CoPb from Alexandria via LeMat-Bulk. Energies are from PBE-GGA.

The structure in POSCAR format:
```
Li2CoPb
1.0
3.4201 0.0000 0.0000
0.0000 3.3032 0.0502
0.0000 3.2061 5.9691
Li Co Pb
2 1 1
Direct
0.5000 0.2689 0.2308
0.0000 0.0143 0.9855
0.5000 0.7431 0.7572
0.0000 0.4736 0.5265
```

DFT total energy (Ha/atom): -0.12961
Symmetry: Pm, No. 6

---

Record 2
Here is a relaxed structure of ZrMoH2 from Alexandria via LeMat-Bulk. Energies are from PBE-GGA.

The structure in POSCAR format:
```
ZrMoH2
1.0
-1.2334 -2.4104 -3.1776
-1.6491 -2.7202 2.7036
-5.9011 -0.0428 -0.4194
Zr H Mo
2 4 2
Direct
0.2500 0.7500 0.5000
0.5000 0.5000 0.0000
0.8750 0.9176 0.7500
0.3750 0.3324 0.7500
0.0824 0.6250 0.2500
0.6676 0.1250 0.2500
0.7500 0.2500 0.5000
0.0000 0.0000 0.0000
```

Energy above the lowest structure with this stoichiometry (meV/atom): 0
Symmetry: I-42d, No. 122